No. 1
The following is a GGA-PBE calculation of an optimized crystal structure of La6In2FeH, from the Alexandria database.

Geometry as POSCAR:
```
La6In2FeH
1.0
-7.076 0.278 2.483
2.770 -1.141 6.881
2.584 5.550 -4.011
La In Fe H
6 2 1 1
direct
0.722 0.725 0.935
0.787 0.786 0.510
0.277 0.275 0.064
0.741 0.262 0.000
0.213 0.214 0.489
0.259 0.738 0.000
0.749 0.250 0.499
0.250 0.751 0.500
0.001 0.001 0.001
0.501 0.501 0.000
```

- final energy (eV/cell) = -49.62

***

No. 2
The following is a GGA-PBE calculation of an optimized crystal structure of YLuTcAu, from the Alexandria database.

Geometry as POSCAR:
```
YLuTcAu
1.0
-3.762 1.046 -2.978
-2.305 -3.608 -2.405
-4.568 -1.274 1.275
Y Lu Au Tc
1 1 1 1
direct
0.750 0.750 0.750
0.250 0.250 0.250
0.000 0.000 0.000
0.500 0.500 0.500
```

- final energy (eV/cell) = -26.18
- ΔH_f (0 K) (eV per formula unit) = -1.55

***

No. 3
The following is a GGA-PBE calculation of an optimized crystal structure of K2ZrSe, from the Alexandria database.

Geometry as POSCAR:
```
K2ZrSe
1.0
5.580 0.000 0.000
2.790 4.833 0.000
2.790 1.611 4.556
K Se Zr
2 1 1
direct
0.000 0.000 0.000
0.250 0.250 0.250
0.500 0.500 0.500
0.750 0.750 0.750
```

- final energy (eV/cell) = -12.67
- formation energy without anion corrections (eV per atom) = 0.3895

***

No. 4
The following is a GGA-PBE calculation of an optimized crystal structure of NaPb2C2, from the Alexandria database.

Geometry as POSCAR:
```
NaPb2C2
1.0
-1.986 -3.776 1.400
2.477 0.086 3.745
-3.304 0.869 4.858
Pb Na C
2 1 2
direct
0.343 0.343 0.314
0.657 0.657 0.686
0.000 0.000 0.000
0.750 0.250 0.500
0.250 0.750 0.500
```

- final energy (eV/cell) = -20.06
- ΔH_f (0 K) (eV per formula unit) = 7.12
- offset from the most stable computed form (meV per atom) = 685

***

Result set for DOS at the Fermi energy: 10.199 1.599 3.626 2.385 states/eV per cell, one per record in the order listed.
Result set for density: 6.38 11.08 3.36 7.57 Mg/m³, one per record in the order listed.
Result set for total magnetization: 0.0 0.0 3.8 0.0 μB/f.u., one per record in the order listed.